A relaxed RbCd2Hg4 crystal, computed with PBE.

As for the polymorph energy (0 for the lowest one): 0.0000 eV/atom. The calculation puts the final energy at -0.025 Ha/atom. The energy of formation from the pure elements is -117 meV per atom.

abc: 6.023 6.518 6.518
angles: 77.68 62.48 62.48
Sites, in units of the cell vectors:
Hg1 0.306 0.000 0.389
Hg2 0.694 0.611 0.000
Cd1 0.250 0.500 0.500
Rb1 0.000 0.000 0.000
Cd2 0.750 0.500 0.500
Hg3 0.694 0.000 0.611
Hg4 0.306 0.389 0.000